# Co3P

A geometry-optimized Co3P structure (PBE, the Open Quantum Materials Database).

Computed properties:
space group: I4/mmm
spin magnetization: 0.02 μB per formula unit

Cell lengths 4.186, 4.186, 4.186 Å; angles 130.81, 130.81, 72.11 degrees
Positions (direct):
Co1 0.000 0.000 0.000
Co2 0.250 0.750 0.500
Co3 0.750 0.250 0.500
P1 0.500 0.500 0.000



# NaHf3Se5

A geometry-optimized NaHf3Se5 structure (PBE, the Open Quantum Materials Database).

Computed properties:
space group: P6/mmm
spin magnetization: 0.00 μB per formula unit

Cell lengths 6.143, 6.143, 7.428 Å; angles 90.00, 90.00, 120.00 degrees
Positions (direct):
Na1 0.000 0.000 0.000
Hf1 0.000 0.500 0.500
Hf2 0.500 0.000 0.500
Hf3 0.500 0.500 0.500
Se1 0.000 0.000 0.500
Se2 0.333 0.667 0.231
Se3 0.333 0.667 0.769
Se4 0.667 0.333 0.231
Se5 0.667 0.333 0.769



# PmGaPO

A geometry-optimized PmGaPO structure (PBE, the Open Quantum Materials Database).

Computed properties:
space group: P4/nmm
spin magnetization: 0.00 μB per formula unit

Cell lengths 4.245, 4.245, 7.915 Å; angles 90.00, 90.00, 90.00 degrees
Positions (direct):
Pm1 0.250 0.250 0.131
Pm2 0.750 0.750 0.869
Ga1 0.250 0.750 0.500
Ga2 0.750 0.250 0.500
P1 0.250 0.250 0.661
P2 0.750 0.750 0.339
O1 0.250 0.750 0.000
O2 0.750 0.250 0.000



# PrErSe2

A geometry-optimized PrErSe2 structure (PBE, the Open Quantum Materials Database).

Computed properties:
space group: P4/mmm
spin magnetization: 0.01 μB per formula unit

Cell lengths 4.152, 4.152, 5.875 Å; angles 90.00, 90.00, 90.00 degrees
Positions (direct):
Pr1 0.000 0.000 0.000
Er1 0.500 0.500 0.500
Se1 0.000 0.000 0.500
Se2 0.500 0.500 0.000



# MgCuPd2

A geometry-optimized MgCuPd2 structure (PBE, the Open Quantum Materials Database).

Computed properties:
space group: P6_3/mmc

Cell lengths 4.330, 4.330, 7.761 Å; angles 90.00, 90.00, 120.00 degrees
Positions (direct):
Mg1 0.000 0.000 0.250
Mg2 0.000 0.000 0.750
Cu1 0.333 0.667 0.250
Cu2 0.667 0.333 0.750
Pd1 0.333 0.667 0.578
Pd2 0.333 0.667 0.922
Pd3 0.667 0.333 0.078
Pd4 0.667 0.333 0.422



# TbPrGa2Pd4

A geometry-optimized TbPrGa2Pd4 structure (PBE, the Open Quantum Materials Database).

Computed properties:
space group: P-6m2
spin magnetization: 0.00 μB per formula unit

Cell lengths 4.437, 4.437, 9.249 Å; angles 90.00, 90.00, 120.00 degrees
Positions (direct):
Tb1 0.000 0.000 0.000
Pr1 0.667 0.333 0.500
Ga1 0.333 0.667 0.244
Ga2 0.333 0.667 0.756
Pd1 0.000 0.000 0.318
Pd2 0.000 0.000 0.682
Pd3 0.667 0.333 0.165
Pd4 0.667 0.333 0.835



# CsKTh

A geometry-optimized CsKTh structure (PBE, the Open Quantum Materials Database).

Computed properties:
space group: F-43m
spin magnetization: 4.00 μB per formula unit

Cell lengths 6.705, 6.705, 6.705 Å; angles 60.00, 60.00, 60.00 degrees
Positions (direct):
Cs1 0.000 0.000 0.000
K1 0.750 0.750 0.750
Th1 0.250 0.250 0.250



# Y2HoPdPt2Pb3

A geometry-optimized Y2HoPdPt2Pb3 structure (PBE, the Open Quantum Materials Database).

Computed properties:
space group: Amm2
spin magnetization: 0.00 μB per formula unit

Cell lengths 3.946, 7.764, 7.764 Å; angles 119.82, 90.00, 90.00 degrees
Positions (direct):
Y1 0.000 0.203 0.797
Y2 0.000 0.797 0.203
Ho1 0.000 0.390 0.390
Pd1 0.000 0.795 0.795
Pt1 0.500 0.133 0.463
Pt2 0.500 0.463 0.133
Pb1 0.500 0.059 0.059
Pb2 0.500 0.535 0.797
Pb3 0.500 0.797 0.535



Looking at electronic total energy for the records above, in order, we have -6.809 -6.431 -6.147 -5.806 -4.190 -5.378 -1.557 -5.921 eV per atom.